{"formula": "TlSb5Pt3", "functional": "PBE", "state": "optimized geometry", "cell": [[-0.857, -3.707, -4.217], [4.130, -0.916, 3.791], [-5.286, -4.181, 4.750]], "species": ["Pt", "Pt", "Pt", "Sb", "Sb", "Sb", "Sb", "Sb", "Tl"], "frac_coords": [[0.000, 0.500, 0.500], [0.500, 0.000, 0.500], [0.500, 0.500, 0.500], [0.667, 0.333, 0.221], [0.667, 0.333, 0.779], [0.333, 0.667, 0.221], [0.333, 0.667, 0.779], [0.000, 0.000, 0.500], [0.000, 0.000, 0.000]], "energy_ha_per_atom": -0.172, "total_magnetization_mub_per_atom": 0.006}

***

{"formula": "HfMgFeSi", "functional": "PBE", "state": "optimized geometry", "cell": [[-2.302, 0.149, 3.804], [-4.213, 1.429, -0.004], [-3.324, -2.872, 0.702]], "species": ["Hf", "Fe", "Mg", "Si"], "frac_coords": [[0.250, 0.250, 0.250], [0.750, 0.750, 0.750], [0.500, 0.500, 0.500], [0.000, 0.000, 0.000]], "e_above_lowest_polymorph_mev_per_atom": 240.4, "total_magnetization_mub_per_atom": 0.455}

***

{"formula": "AlFeCoSe4", "functional": "PBE", "state": "optimized geometry", "cell": [[7.254, 0.000, 0.000], [0.000, 7.254, 0.000], [0.000, 0.000, 10.229]], "species": ["Se", "Se", "Se", "Se", "Se", "Se", "Se", "Se", "Se", "Se", "Se", "Se", "Se", "Se", "Se", "Se", "Fe", "Fe", "Fe", "Fe", "Co", "Co", "Co", "Co", "Al", "Al", "Al", "Al"], "frac_coords": [[0.499, 0.257, 0.258], [0.261, 0.978, 0.002], [0.022, 0.739, 0.248], [0.978, 0.261, 0.748], [0.257, 0.501, 0.008], [0.743, 0.499, 0.508], [0.261, 0.022, 0.498], [0.978, 0.739, 0.752], [0.022, 0.261, 0.252], [0.501, 0.257, 0.742], [0.257, 0.499, 0.492], [0.499, 0.743, 0.242], [0.501, 0.743, 0.758], [0.739, 0.978, 0.998], [0.743, 0.501, 0.992], [0.739, 0.022, 0.502], [0.270, 0.500, 0.250], [0.730, 0.500, 0.750], [0.500, 0.270, 0.500], [0.500, 0.730, 0.000], [0.245, 0.755, 0.625], [0.245, 0.245, 0.875], [0.755, 0.755, 0.375], [0.755, 0.245, 0.125], [0.256, 0.000, 0.250], [0.000, 0.744, 0.000], [0.000, 0.256, 0.500], [0.744, 0.000, 0.750]], "e_above_lowest_polymorph_mev_per_atom": 68.8, "total_magnetization_mub_per_atom": 0.285}

***

{"formula": "ScHgI3", "functional": "PBE", "state": "optimized geometry", "cell": [[-2.582, 3.293, 5.950], [3.688, -6.244, 0.633], [8.384, 6.101, -1.069]], "species": ["I", "I", "I", "I", "I", "I", "Sc", "Sc", "Hg", "Hg"], "frac_coords": [[0.597, 0.451, 0.836], [0.308, 0.808, 0.835], [0.951, 0.096, 0.835], [0.692, 0.192, 0.165], [0.049, 0.904, 0.165], [0.403, 0.549, 0.164], [0.333, 0.167, 0.000], [0.667, 0.833, 0.000], [0.847, 0.639, 0.500], [0.153, 0.361, 0.500]], "energy_ha_per_atom": -0.119, "total_magnetization_mub_per_atom": 0.000}

***

{"formula": "TmCdAg", "functional": "PBE", "state": "optimized geometry", "cell": [[1.942, -3.779, -2.347], [-2.837, -2.964, -2.593], [0.253, 0.024, -4.847]], "species": ["Ag", "Tm", "Cd"], "frac_coords": [[0.250, 0.250, 0.250], [0.000, 0.000, 0.000], [0.750, 0.750, 0.750]], "total_magnetization_mub_per_atom": 0.000, "delta_e_f_ev_per_atom": 0.18}

***

{"formula": "ZrCoSnHg", "functional": "PBE", "state": "optimized geometry", "cell": [[0.000, 3.372, 3.372], [3.372, 0.000, 3.372], [3.372, 3.372, 0.000]], "species": ["Hg", "Zr", "Co", "Sn"], "frac_coords": [[0.250, 0.250, 0.250], [0.500, 0.500, 0.500], [0.750, 0.750, 0.750], [0.000, 0.000, 0.000]], "e_above_lowest_polymorph_mev_per_atom": 2.2, "total_magnetization_mub_per_atom": 0.012}

***

{"formula": "Y2Tm3Lu2Ni2Te2", "functional": "PBE", "state": "optimized geometry", "cell": [[-1.914, 7.703, 4.730], [1.914, -7.703, 4.730], [1.914, 7.703, -4.730]], "species": ["Te", "Te", "Y", "Y", "Lu", "Lu", "Ni", "Ni", "Tm", "Tm", "Tm"], "frac_coords": [[0.638, 0.138, 0.500], [0.242, 0.242, 0.000], [0.892, 0.745, 0.147], [0.598, 0.745, 0.853], [0.282, 0.097, 0.184], [0.913, 0.097, 0.816], [0.670, 0.410, 0.261], [0.149, 0.410, 0.739], [0.259, 0.893, 0.366], [0.527, 0.893, 0.634], [0.977, 0.477, 0.500]], "e_above_lowest_polymorph_mev_per_atom": 0.0, "total_magnetization_mub_per_atom": 0.002}

***

{"formula": "ErTmGeI2", "functional": "PBE", "state": "optimized geometry", "cell": [[-3.714, 1.776, 0.789], [2.220, -1.693, 3.126], [4.865, 9.437, 1.655]], "species": ["Tm", "I", "I", "Er", "Ge"], "frac_coords": [[0.333, 0.667, 0.643], [0.667, 0.333, 0.828], [0.333, 0.667, 0.171], [0.667, 0.333, 0.358], [0.000, 0.000, 0.501]], "e_above_lowest_polymorph_mev_per_atom": 2.9, "total_magnetization_mub_per_atom": 0.002}